Compound: Ba3Os5N12
Source: Alexandria via LeMat-Bulk
Functional: GGA-PBE
Structure: relaxed

a b c (Å): 13.337 13.337 13.337
angles (deg): 90.00 90.00 90.00
Space group Ia-3d (No. 230)
Inequivalent atoms, fractional coordinates:
Ba1 0.000 0.250 0.125 [24 per cell]
Os1 0.000 0.000 0.000 [16 per cell]
Os2 0.000 0.250 0.375 [24 per cell]
N1 0.032 0.145 0.958 [96 per cell]

Uncorrected formation energy (eV/atom): 0.026
DFT total energy (eV/atom): -8.07
D(E_F) (states/eV per atom): 0.35
Total magnetization (μB/f.u.): 0.000